Entry from Alexandria: a geometry-optimized SrEu2Lu structure (PBE-GGA).

**Crystal system**: cubic

Geometry as POSCAR:
```
SrEu2Lu
1.0
6.0904 0.0000 0.0000
3.0452 5.2745 0.0000
3.0452 1.7582 4.9728
Eu Sr Lu
2 1 1
Direct
0.2500 0.2500 0.2500 Eu
0.7500 0.7500 0.7500 Eu
0.5000 0.5000 0.5000 Sr
0.0000 0.0000 0.0000 Lu
```


Entry from Alexandria: a geometry-optimized SrEu2Lu structure (PBE-GGA).

**Crystal system**: tetragonal

Geometry as POSCAR:
```
SrEu2Lu
1.0
4.2098 0.0000 0.0000
0.0000 6.1580 0.0000
0.0000 0.0000 6.1580
Eu Sr Lu
2 1 1
Direct
0.0000 0.0000 0.5000 Eu
0.0000 0.5000 0.0000 Eu
0.5000 0.5000 0.5000 Sr
0.5000 0.0000 0.0000 Lu
```


Entry from Alexandria: a geometry-optimized TbEu2Lu structure (PBE-GGA).

**Crystal system**: tetragonal

Geometry as POSCAR:
```
TbEu2Lu
1.0
3.6230 0.0000 0.0000
0.0000 3.6230 0.0000
0.0000 0.0000 10.5604
Eu Lu Tb
2 1 1
Direct
0.0000 0.0000 0.7540 Eu
0.0000 0.0000 0.2460 Eu
0.5000 0.5000 0.0000 Lu
0.5000 0.5000 0.5000 Tb
```


Entry from Alexandria: a geometry-optimized TbEu2Lu structure (PBE-GGA).

**Crystal system**: tetragonal

Geometry as POSCAR:
```
TbEu2Lu
1.0
-0.8984 -3.6917 3.6051
-3.1626 -2.4165 -3.2627
3.9630 -2.7365 -1.8146
Eu Lu Tb
2 1 1
Direct
0.0000 0.0000 0.5000 Eu
0.0000 0.5000 0.0000 Eu
0.5000 0.0000 0.0000 Lu
0.5000 0.5000 0.5000 Tb
```


Entry from Alexandria: a geometry-optimized TbEuLu2 structure (PBE-GGA).

**Crystal system**: cubic

Geometry as POSCAR:
```
TbEuLu2
1.0
-3.1492 4.5862 1.0667
-5.5597 -0.0674 -1.0831
-3.7177 -0.0485 4.2737
Eu Lu Tb
1 2 1
Direct
0.0000 0.0000 0.0000 Eu
0.2500 0.2500 0.2500 Lu
0.7500 0.7500 0.7500 Lu
0.5000 0.5000 0.5000 Tb
```


Entry from Alexandria: a geometry-optimized TbEu2Lu structure (PBE-GGA).

**Crystal system**: cubic

Geometry as POSCAR:
```
TbEu2Lu
1.0
-2.4285 -5.2249 0.7547
-0.8597 -3.4912 -4.5650
3.2013 -4.8093 -0.6233
Eu Lu Tb
2 1 1
Direct
0.2500 0.2500 0.2500 Eu
0.7500 0.7500 0.7500 Eu
0.0000 0.0000 0.0000 Lu
0.5000 0.5000 0.5000 Tb
```


no.,formation enthalpy at 0 K (eV/atom),excess energy over the best structure of this formula in the dataset (meV/atom)
1,0.1704,0
2,0.1753,5
3,0.1293,0
4,0.1321,3
5,0.1531,3
6,0.1734,44